# ZrTiCu

A relaxed ZrTiCu crystal (PBE, Alexandria via LeMat-Bulk).

Calculated values
Total moment = 0.00 μB/f.u.
Fermi-level density of states = 1.3471 states/eV/atom
Formation energy from the elements = 130 meV/atom
Crystal system = hexagonal
Energy above the lowest structure with this stoichiometry = 23.3 kJ per mole of atoms

Lattice parameters (Å, degrees): 4.2068 4.2068 3.5685 90.00 90.00 120.00
Last column: nearest neighbours and their distance in Å.
Element x y z (fractional)
Zr 0.0000 0.0000 0.0000  6 Cu 3.01, 6 Ti 3.01
Ti 0.3333 0.6667 0.5000  3 Cu 2.43
Cu 0.6667 0.3333 0.5000  3 Ti 2.43